(A)
4
Lattice="-2.232 2.232 6.528 2.232 -2.232 6.528 2.232 2.232 -6.528" Properties=species:S:1:pos:R:3 comment="Sr2AgBr meta-GGA SCAN PBEsol geometry" dos_ef_per_ev_atom=0.53 total_magnetization_mub_per_fu=0.0 pbc="T T T"
Sr 0.000 0.000 0.000
Sr 0.000 2.232 3.264
Ag 0.000 0.000 6.528
Br 2.232 0.000 3.264



(B)
4
Lattice="4.516 0.000 0.000 0.000 4.537 0.000 0.000 0.000 6.403" Properties=species:S:1:pos:R:3 comment="Sr2AgBr meta-GGA SCAN PBEsol geometry" dos_ef_per_ev_atom=0.88 total_magnetization_mub_per_fu=0.0 pbc="T T T"
Sr 0.000 0.000 0.000
Sr 2.258 2.268 3.202
Ag 0.000 0.000 3.202
Br 2.258 2.268 0.000



(B) wins, 20.1 kJ/mol of atoms ahead of the next structure.